Computed, not measured: crystalline ZrTi4Tc5 at its relaxed geometry at the PBE level of DFT.

Unit cell a=3.1442 b=3.1442 c=15.7206 alpha=90.00 beta=90.00 gamma=90.00
Fractional positions:
Zr 0.0000 0.0000 0.0000
Ti 0.0000 0.0000 0.2063
Ti 0.0000 0.0000 0.4022
Ti 0.0000 0.0000 0.5978
Ti 0.0000 0.0000 0.7937
Tc 0.5000 0.5000 0.1095
Tc 0.5000 0.5000 0.3046
Tc 0.5000 0.5000 0.5000
Tc 0.5000 0.5000 0.6954
Tc 0.5000 0.5000 0.8905

Summary:
- DOS at the Fermi energy (states/eV per atom) = 0.89
- space group = P4/mmm, No. 123
- raw total energy (eV/atom) = -9.64
- ΔE_f (eV per atom) = -0.4424
- M_tot (μB/f.u.) = 0.00